# 1
DFT (PBE) results for a relaxed Ac3ZnRh2 crystal.

Summary:
**Density of states at the Fermi level**: 0.624 states/eV per atom
**Spin magnetization**: 0.00 μB per formula unit
**DFT formation energy**: -499 meV per atom

Geometry as extended XYZ:
```
12
Lattice="-1.7791 -1.1777 6.6465 -4.4304 -5.9917 -2.2476 8.3649 -0.5576 -1.5254" Properties=species:S:1:pos:R:3 pbc="T T T"
Ac -1.9971 -2.0868 2.7614
Ac -4.2123 -5.0826 1.6375
Ac 3.2923 -1.5119 4.2791
Ac 1.0783 -3.2193 -0.2818
Ac -1.1369 -6.2151 -1.4056
Ac 1.0771 -4.5077 3.1553
Zn -2.2152 -2.9958 -1.1238
Zn 0.0000 0.0000 0.0000
Rh 3.4855 -3.3120 1.9589
Rh 0.1024 -1.9373 4.9626
Rh 2.0530 -5.7897 -2.0892
Rh -1.3300 -4.4150 0.9146
```

***

# 2
DFT (PBE) results for a relaxed Ac2Zn3Rh4 crystal.

Summary:
**Density of states at the Fermi level**: 0.446 states/eV per atom
**Spin magnetization**: 0.00 μB per formula unit
**DFT formation energy**: -536 meV per atom

Geometry as extended XYZ:
```
18
Lattice="5.7954 0.0000 0.0000 0.0000 7.4464 0.0000 -2.8977 0.0000 7.9835" Properties=species:S:1:pos:R:3 pbc="T T T"
Ac 0.0000 4.3557 1.7089
Ac 2.8977 3.0907 6.2746
Ac 0.0000 0.6325 6.2746
Ac 2.8977 6.8139 1.7089
Zn 0.0000 0.0000 0.0000
Zn 2.8977 3.7232 0.0000
Zn 1.4489 5.5848 4.3207
Zn 4.3466 1.8616 3.6628
Zn 1.4489 1.8616 3.6628
Zn -1.4489 5.5848 4.3207
Rh 1.4489 5.5848 6.9079
Rh 4.3466 1.8616 1.0756
Rh 1.4489 1.8616 1.0756
Rh -1.4489 5.5848 6.9079
Rh 0.0000 7.3240 2.7678
Rh 2.8977 0.1224 5.2157
Rh 0.0000 3.6008 5.2157
Rh 2.8977 3.8456 2.7678
```